# 1
! Tb2PmEr6Tm, relaxed, DFT PBE-GGA; values from VASP
&SYSTEM
  ibrav = 0, nat = 20, ntyp = 4
/
ATOMIC_SPECIES
Er 167.26 Er.upf
Pm 145.00 Pm.upf
Tb 158.93 Tb.upf
Tm 168.93 Tm.upf
ATOMIC_POSITIONS crystal
Er 0.8817 0.2914 0.5072
Pm 0.2500 0.9767 0.0233
Er 0.6183 0.4928 0.7086
Er 0.1844 0.5685 0.0183
Er 0.0574 0.1255 0.7485
Er 0.6844 0.0183 0.5685
Er 0.1183 0.7086 0.4928
Er 0.3156 0.9817 0.4315
Er 0.5574 0.7485 0.1255
Er 0.8156 0.4315 0.9817
Tb 0.0455 0.3037 0.1981
Tb 0.5455 0.1981 0.3037
Tm 0.2500 0.4093 0.5907
Er 0.3817 0.5072 0.2914
Tb 0.4545 0.8019 0.6963
Tb 0.9545 0.6963 0.8019
Er 0.9426 0.8745 0.2515
Pm 0.7500 0.0233 0.9767
Er 0.4426 0.2515 0.8745
Tm 0.7500 0.5907 0.4093
CELL_PARAMETERS angstrom
-2.2333 1.0312 -9.1589
-6.5426 -5.5378 1.5755
-1.2523 8.4224 1.8574
! * energy relative to the elements: 11.5 kJ per mole of atoms
! * mass density: 8.60 g cm⁻³
! * space group: No. 15

=====

# 2
! TbPm2Er2Tm, relaxed, DFT PBE-GGA; values from VASP
&SYSTEM
  ibrav = 0, nat = 12, ntyp = 4
/
ATOMIC_SPECIES
Tm 168.93 Tm.upf
Er 167.26 Er.upf
Pm 145.00 Pm.upf
Tb 158.93 Tb.upf
ATOMIC_POSITIONS crystal
Tm 0.0000 0.5075 0.5000
Er 0.0000 0.7577 0.1629
Pm 0.5000 0.0076 0.9999
Tb 0.5000 0.7575 0.3427
Pm 0.0000 0.7577 0.8216
Tb 0.5000 0.2575 0.6573
Er 0.5000 0.2575 0.3303
Tm 0.0000 0.0075 0.5000
Pm 0.0000 0.2577 0.1784
Pm 0.5000 0.5077 0.0001
Er 0.0000 0.2577 0.8371
Er 0.5000 0.7575 0.6697
CELL_PARAMETERS angstrom
5.6231 0.0000 0.0000
0.0000 6.9746 0.0000
0.0000 0.0000 9.7233
! * energy relative to the elements: 6.4 kJ per mole of atoms
! * mass density: 8.29 g cm⁻³
! * space group: No. 51

=====

# 3
! TbPm5Er2Tm, relaxed, DFT PBE-GGA; values from VASP
&SYSTEM
  ibrav = 0, nat = 18, ntyp = 4
/
ATOMIC_SPECIES
Er 167.26 Er.upf
Pm 145.00 Pm.upf
Tb 158.93 Tb.upf
Tm 168.93 Tm.upf
ATOMIC_POSITIONS crystal
Er 0.8856 0.7712 0.8120
Er 0.1124 0.2248 0.7380
Er 0.1144 0.2288 0.3120
Pm 0.0171 0.0341 0.0181
Pm 0.2983 0.5967 0.7074
Pm 0.6152 0.2304 0.5213
Tb 0.4099 0.8198 0.4597
Pm 0.7199 0.4398 0.8136
Er 0.8876 0.7752 0.2380
Pm 0.9829 0.9659 0.5181
Pm 0.5178 0.0357 0.2422
Pm 0.2801 0.5602 0.3136
Tm 0.1985 0.3970 0.0115
Pm 0.4822 0.9643 0.7422
Pm 0.3848 0.7696 0.0213
Tb 0.5901 0.1802 0.9597
Tm 0.8015 0.6030 0.5115
Pm 0.7017 0.4033 0.2074
CELL_PARAMETERS angstrom
5.6305 0.0000 0.0000
-2.8153 10.0936 0.0000
0.0000 0.0000 10.6374
! * energy relative to the elements: 14.3 kJ per mole of atoms
! * mass density: 7.62 g cm⁻³
! * space group: No. 36

=====

# 4
! TbPm5ErTm2, relaxed, DFT PBE-GGA; values from VASP
&SYSTEM
  ibrav = 0, nat = 18, ntyp = 4
/
ATOMIC_SPECIES
Pm 145.00 Pm.upf
Tm 168.93 Tm.upf
Tb 158.93 Tb.upf
Er 167.26 Er.upf
ATOMIC_POSITIONS crystal
Pm 0.7193 0.4386 0.8108
Tm 0.1145 0.2290 0.3111
Tb 0.1992 0.3983 0.0106
Pm 0.7020 0.4040 0.2064
Pm 0.6130 0.2259 0.5223
Tm 0.1111 0.2222 0.7398
Tm 0.8855 0.7710 0.8111
Er 0.4095 0.8191 0.4611
Pm 0.4819 0.9638 0.7427
Pm 0.3870 0.7741 0.0223
Tm 0.8889 0.7778 0.2398
Er 0.5905 0.1809 0.9611
Pm 0.9837 0.9675 0.5193
Tb 0.8008 0.6017 0.5106
Pm 0.2980 0.5960 0.7064
Pm 0.0163 0.0325 0.0193
Pm 0.2807 0.5614 0.3108
Pm 0.5181 0.0362 0.2427
CELL_PARAMETERS angstrom
5.6091 0.0000 0.0000
-2.8046 10.1117 0.0000
0.0000 0.0000 10.6715
! * energy relative to the elements: 14.3 kJ per mole of atoms
! * mass density: 7.62 g cm⁻³
! * space group: No. 36